Record 1
Er4TmGa4, optimized geometry, DFT PBE-GGA; energy of formation from the pure elements = -0.357 eV per atom; raw total energy = -4.227 eV/atom; size of the total moment = 0.0000 μB per atom; N(E_F) = 12.21 states/eV per cell
1.0
8.934 0.000 0.000
0.000 8.934 0.000
0.000 0.000 5.908
Er Tm Ga
8 2 8
Direct
0.065 0.660 0.129
0.160 0.935 0.629
0.340 0.565 0.629
0.435 0.840 0.129
0.565 0.160 0.871
0.660 0.435 0.371
0.840 0.065 0.371
0.935 0.340 0.871
0.250 0.250 0.250
0.750 0.750 0.750
0.022 0.620 0.618
0.120 0.978 0.118
0.380 0.522 0.118
0.478 0.880 0.618
0.522 0.120 0.382
0.620 0.478 0.882
0.880 0.022 0.882
0.978 0.380 0.382

***

Record 2
Er4TmGa, optimized geometry, DFT PBE-GGA; energy of formation from the pure elements = -0.102 eV per atom; raw total energy = -4.393 eV/atom; size of the total moment = 0.0000 μB per atom; N(E_F) = 14.56 states/eV per cell
1.0
4.335 -6.688 0.000
4.335 6.688 0.000
-1.899 0.000 5.871
Er Tm Ga
8 2 2
Direct
0.083 0.718 0.956
0.163 0.394 0.622
0.282 0.917 0.544
0.394 0.163 0.122
0.606 0.837 0.878
0.718 0.083 0.456
0.837 0.606 0.378
0.917 0.282 0.044
0.405 0.595 0.250
0.595 0.405 0.750
0.001 0.999 0.750
0.999 0.001 0.250

***

Record 3
Er3TmGa2, optimized geometry, DFT PBE-GGA; energy above the most stable polymorph in this dataset = 11.13 kJ/mol of atoms; energy of formation from the pure elements = -0.318 eV per atom; raw total energy = -4.353 eV/atom; size of the total moment = 0.0000 μB per atom; N(E_F) = 10.20 states/eV per cell
1.0
7.888 -2.504 0.000
7.888 2.504 0.000
-4.100 0.000 7.763
Er Tm Ga
6 2 4
Direct
0.061 0.061 0.218
0.313 0.313 0.508
0.378 0.378 0.987
0.622 0.622 0.013
0.687 0.687 0.492
0.939 0.939 0.782
0.130 0.130 0.690
0.870 0.870 0.310
0.228 0.228 0.116
0.482 0.482 0.347
0.518 0.518 0.653
0.772 0.772 0.884

***

Record 4
ErTm3Ga2, optimized geometry, DFT PBE-GGA; energy above the most stable polymorph in this dataset = 10.79 kJ/mol of atoms; energy of formation from the pure elements = -0.323 eV per atom; raw total energy = -4.328 eV/atom; size of the total moment = 0.0003 μB per atom; N(E_F) = 9.95 states/eV per cell
1.0
7.853 -2.503 0.000
7.853 2.503 0.000
-4.086 0.000 7.741
Er Tm Ga
2 6 4
Direct
0.131 0.131 0.189
0.869 0.869 0.811
0.061 0.061 0.718
0.313 0.313 0.010
0.379 0.379 0.487
0.621 0.621 0.513
0.687 0.687 0.990
0.939 0.939 0.282
0.227 0.227 0.616
0.483 0.483 0.847
0.517 0.517 0.153
0.773 0.773 0.384

***

Record 5
Er3TmGa4, optimized geometry, DFT PBE-GGA; energy above the most stable polymorph in this dataset = 10.77 kJ/mol of atoms; energy of formation from the pure elements = -0.460 eV per atom; raw total energy = -4.243 eV/atom; size of the total moment = 0.0000 μB per atom; N(E_F) = 7.99 states/eV per cell
1.0
3.545 0.000 0.000
0.000 6.672 0.000
0.000 0.000 16.422
Er Tm Ga
6 2 8
Direct
0.000 0.000 0.000
0.000 0.500 0.203
0.000 0.500 0.797
0.500 0.000 0.297
0.500 0.000 0.703
0.500 0.500 0.500
0.000 0.000 0.500
0.500 0.500 0.000
0.000 0.306 0.371
0.000 0.306 0.629
0.000 0.694 0.371
0.000 0.694 0.629
0.500 0.194 0.129
0.500 0.194 0.871
0.500 0.806 0.129
0.500 0.806 0.871

***

Record 6
Er3TmGa2, optimized geometry, DFT PBE-GGA; energy above the most stable polymorph in this dataset = 0.00 kJ/mol of atoms; energy of formation from the pure elements = -0.433 eV per atom; raw total energy = -4.469 eV/atom; size of the total moment = 0.0000 μB per atom; N(E_F) = 10.29 states/eV per cell
1.0
4.885 0.000 0.000
0.000 9.364 0.000
0.000 0.000 6.523
Er Tm Ga
6 2 4
Direct
0.000 0.048 0.000
0.000 0.320 0.362
0.000 0.680 0.862
0.000 0.952 0.500
0.500 0.182 0.709
0.500 0.818 0.209
0.500 0.451 0.071
0.500 0.549 0.571
0.000 0.361 0.826
0.000 0.639 0.326
0.500 0.139 0.245
0.500 0.861 0.745

***

Record 7
ErTmGa4, optimized geometry, DFT PBE-GGA; energy above the most stable polymorph in this dataset = 0.00 kJ/mol of atoms; energy of formation from the pure elements = -0.594 eV per atom; raw total energy = -4.118 eV/atom; size of the total moment = 0.0006 μB per atom; N(E_F) = 3.77 states/eV per cell
1.0
4.402 0.000 0.000
0.000 7.093 0.000
0.000 0.000 7.580
Er Tm Ga
2 2 8
Direct
0.000 0.000 0.000
0.500 0.500 0.500
0.000 0.500 0.000
0.500 0.000 0.500
0.000 0.249 0.333
0.000 0.249 0.667
0.000 0.751 0.333
0.000 0.751 0.667
0.500 0.251 0.167
0.500 0.251 0.833
0.500 0.749 0.167
0.500 0.749 0.833

***

Record 8
ErTm2Ga3, optimized geometry, DFT PBE-GGA; energy above the most stable polymorph in this dataset = 7.35 kJ/mol of atoms; energy of formation from the pure elements = -0.493 eV per atom; raw total energy = -4.258 eV/atom; size of the total moment = 0.0000 μB per atom; N(E_F) = 9.05 states/eV per cell
1.0
2.249 -10.308 0.000
2.249 10.308 0.000
0.000 0.000 6.122
Er Tm Ga
2 4 6
Direct
0.178 0.822 0.750
0.822 0.178 0.250
0.359 0.641 0.750
0.467 0.533 0.250
0.533 0.467 0.750
0.641 0.359 0.250
0.063 0.937 0.042
0.063 0.937 0.458
0.234 0.766 0.250
0.766 0.234 0.750
0.937 0.063 0.542
0.937 0.063 0.958